# 1
This record from Alexandria via LeMat-Bulk describes a relaxed LiGd2Os crystal. The functional is PBE.

Computed properties:
Crystal system: cubic
ΔE_f (meV per atom): -181
SG: Fm-3m
Density of states at the Fermi level (states/eV per cell): 2.72
DFT total energy (eV per atom): -10.51

Unit cell a=4.940 b=4.940 c=4.940 alpha=60.00 beta=60.00 gamma=60.00
Positions (direct):
Os 0.750 0.750 0.750
Gd 0.000 0.000 0.000
Gd 0.500 0.500 0.500
Li 0.250 0.250 0.250



# 2
This record from Alexandria via LeMat-Bulk describes a relaxed LiGd2Os crystal. The functional is PBE.

Computed properties:
Crystal system: tetragonal
ΔE_f (meV per atom): -115
SG: P4/mmm
Density of states at the Fermi level (states/eV per cell): 2.75
DFT total energy (eV per atom): -10.44

Unit cell a=3.425 b=3.425 c=8.315 alpha=90.00 beta=90.00 gamma=90.00
Positions (direct):
Os 0.500 0.500 0.000
Li 0.500 0.500 0.500
Gd 0.000 0.000 0.203
Gd 0.000 0.000 0.797



Q: Which of these has the lowest ΔE_f?
A: number 1